No. 1
Density functional theory data (GGA-PBE) for TlInHgF2 after structural relaxation.

Values from the calculation:
The energy comes out at -0.22034 Ry per atom. For the uncorrected formation energy, the calculation gives -1.168 eV/atom. The value obtained for the total magnetization is 0.0 μB per cell. The calculated volume is 122.31 Å³/f.u.

a b c (Å): 4.4619 4.4619 6.1436
angles (deg): 90.00 90.00 90.00
Closest atoms and distances in Å follow each position.
Element x y z (fractional)
Tl1 0.0000 0.0000 0.0000  2 In 3.07, 4 Hg 3.16
In1 0.0000 0.0000 0.5000  4 F 2.23
Hg1 0.5000 0.5000 0.0000  4 Tl 3.16
F1 0.0000 0.5000 0.5000  2 In 2.23
F2 0.5000 0.0000 0.5000  2 In 2.23

***

No. 2
Density functional theory data (GGA-PBE) for CeNdSnHg after structural relaxation.

Values from the calculation:
The energy comes out at -0.31359 Ry per atom. The value obtained for the total magnetization is 1.2 μB per cell. For the formation energy, the calculation gives -0.52 eV/atom. The calculated volume is 114.38 Å³/f.u.

a b c (Å): 5.4487 5.4487 5.4487
angles (deg): 60.00 60.00 60.00
Closest atoms and distances in Å follow each position.
Element x y z (fractional)
Ce1 0.0000 0.0000 0.0000  4 Hg 3.34, 4 Sn 3.34
Nd1 0.5000 0.5000 0.5000  4 Hg 3.34, 4 Sn 3.34
Sn1 0.2500 0.2500 0.2500  4 Ce 3.34, 4 Nd 3.34
Hg1 0.7500 0.7500 0.7500  4 Ce 3.34, 4 Nd 3.34

***

No. 3
Density functional theory data (GGA-PBE) for La2CdS after structural relaxation.

Values from the calculation:
The energy comes out at -0.35669 Ry per atom. For the uncorrected formation energy, the calculation gives -1.129 eV/atom. The value obtained for the total magnetization is 0.0 μB per cell. The calculated volume is 119.46 Å³/f.u.

a b c (Å): 8.2385 8.2385 8.2385
angles (deg): 29.43 29.43 29.43
Closest atoms and distances in Å follow each position.
Element x y z (fractional)
La1 0.2361 0.2361 0.2361  3 S 2.92
La2 0.7639 0.7639 0.7639  3 S 2.92
Cd1 0.0000 0.0000 0.0000  6 La 3.33
S1 0.5000 0.5000 0.5000  6 La 2.92

***

No. 4
Density functional theory data (GGA-PBE) for Hf2TiRu after structural relaxation.

Values from the calculation:
The energy comes out at -0.66992 Ry per atom. The value obtained for the total magnetization is 0.0 μB per cell. For the formation energy, the calculation gives 0.15 eV/atom. The calculated volume is 79.95 Å³/f.u.

a b c (Å): 6.0066 6.0066 6.0066
angles (deg): 103.24 103.24 122.83
Closest atoms and distances in Å follow each position.
Element x y z (fractional)
Hf1 0.0843 0.6250 0.9593  2 Ru 2.54
Hf2 0.3750 0.3343 0.4593  2 Ru 2.54
Hf3 0.6657 0.1250 0.0407  2 Ru 2.54
Hf4 0.8750 0.9157 0.5407  2 Ru 2.54
Ti1 0.2500 0.7500 0.5000  2 Ru 2.87, 4 Hf 2.95
Ti2 0.5000 0.5000 0.0000  2 Ru 2.87, 4 Hf 2.95
Ru1 0.0000 0.0000 0.0000  4 Hf 2.54
Ru2 0.7500 0.2500 0.5000  4 Hf 2.54